Computed, not measured: an optimized crystal structure of AcTlZnO4 at the GGA-PBE level of DFT.

Lattice parameters (Å, degrees): 6.6811 8.1221 9.8993 90.00 90.00 90.00
Space group Imma (No. 74)
Unique sites:
Ac  0.0000  0.0000  0.0000 [4 per cell]
Tl  0.2500  0.2500  0.2500 [4 per cell]
Zn  0.0000  0.2500  0.5415 [4 per cell]
O  0.0000  0.0647  0.2480 [8 per cell]
O  0.2320  0.2500  0.9877 [8 per cell]

Results
- E_form (uncorrected) (kcal/mol of atoms) = -38.26
- calculated volume (Å³/f.u.) = 134